This record from the Alexandria database describes crystalline V2NiTe at its relaxed geometry. The functional is PBE-GGA.

The structure in CIF format:
```
data_V2NiTe
_chemical_formula_sum 'V8 Ni4 Te4'
_symmetry_space_group_name_H-M 'I -4 2 d'
_symmetry_Int_Tables_number 122
_symmetry_space_group_name_Hall 'I -4 2bw'
_cell_length_a 5.420
_cell_length_b 5.420
_cell_length_c 11.861
_cell_angle_alpha 90.00
_cell_angle_beta 90.00
_cell_angle_gamma 90.00
loop_
_atom_site_label
_atom_site_fract_x
_atom_site_fract_y
_atom_site_fract_z
V1 0.178 0.250 0.125
Ni1 0.000 0.000 0.000
Te1 0.000 0.000 0.500
```

Output
Size of the total moment   1.43 μB per formula unit
Formation energy without anion corrections   2.939 eV/f.u.